The following is a DFT calculation (PBE) of a relaxed AcCeGd2 crystal.

The total energy is -9.44 eV per atom. The calculation puts the energy relative to the lowest polymorph listed for this composition at 0.025 eV per atom. Its formation enthalpy at 0 K is 111 meV per atom. The calculated volume comes out at 138.8 Å³/f.u. The calculated density comes out at 8.155 g/cm³. The calculation puts the total magnetic moment at 3.410 μB per atom. For the density of states at the Fermi level, the calculation gives 9.901 states/eV/cell.

The structure belongs to space group P4/mmm (No. 123); the cell edges are 5.1927, 5.1927 and 5.1476 Å and the angles 90.00°, 90.00° and 90.00°. The distinct sites, in fractional coordinates, are Ac at (0.0000, 0.0000, 0.0000), Ce at (0.5000, 0.5000, 0.0000) and Gd at (0.0000, 0.5000, 0.5000).

The following is a DFT calculation (PBE) of a relaxed Tb2PmHoS4 crystal.

The total energy is -6.39 eV per atom. The uncorrected formation energy comes out at -2.00 eV per atom. The calculated volume comes out at 173.5 Å³/f.u. The calculated density comes out at 7.235 g/cm³. The calculation puts the total magnetic moment at 0.000 μB per atom. For the density of states at the Fermi level, the calculation gives 4.755 states/eV/cell.

The structure belongs to space group P2/m (No. 10); the cell edges are 6.8304, 3.9077 and 6.8768 Å and the angles 90.00°, 109.03° and 90.00°. The distinct sites, in fractional coordinates, are Tb at (0.0000, 0.0000, 0.0000), Tb at (0.0000, 0.5000, 0.5000), Pm at (0.5000, 0.0000, 0.5000), Ho at (0.5000, 0.5000, 0.0000), S at (0.2448, 0.5000, 0.2418) and S at (0.2498, 0.0000, 0.7562).

The following is a DFT calculation (PBE) of a relaxed LaHS2 crystal.

The total energy is -5.53 eV per atom. The calculation puts the energy relative to the lowest polymorph listed for this composition at 0.000 eV per atom. The calculated volume comes out at 109.4 Å³/f.u. The calculated density comes out at 3.098 g/cm³. The calculation puts the total magnetic moment at 0.000 μB per atom. For the density of states at the Fermi level, the calculation gives 0.000 states/eV/cell.

The structure belongs to space group Cmc2_1 (No. 36); the cell edges are 4.4185, 17.8687 and 5.5413 Å and the angles 90.00°, 90.00° and 90.00°. The distinct sites, in fractional coordinates, are La at (0.0000, 0.1770, 0.0000), H at (0.0000, 0.4710, 0.6413), S at (0.0000, 0.2161, 0.4994) and S at (0.0000, 0.4287, 0.4349).

The following is a DFT calculation (PBE) of a relaxed Hf4PaNbN8 crystal.

The total energy is -10.46 eV per atom. The uncorrected formation energy comes out at -1.46 eV per atom. The calculated volume comes out at 190.4 Å³/f.u. The calculated density comes out at 10.028 g/cm³. The calculation puts the total magnetic moment at 0.000 μB per atom. For the density of states at the Fermi level, the calculation gives 19.257 states/eV/cell.

The structure belongs to space group R3m (No. 160, hexagonal axes); the cell edges are 6.4900, 6.4900 and 15.6613 Å and the angles 90.00°, 90.00° and 120.00°. The distinct sites, in fractional coordinates, are Hf at (0.0000, 0.0000, 0.0000), Hf at (0.0010, 0.5005, 0.8755), Pa at (0.0000, 0.0000, 0.7510), Nb at (0.0000, 0.0000, 0.3756), N at (0.0000, 0.0000, 0.1325), N at (0.0000, 0.0000, 0.6124), N at (0.0346, 0.5173, 0.1278) and N at (0.1752, 0.3504, 0.9567).

The following is a DFT calculation (PBE) of a relaxed TmCoCu crystal.

The total energy is -5.21 eV per atom. The calculation puts the energy relative to the lowest polymorph listed for this composition at 0.240 eV per atom. Its formation enthalpy at 0 K is 17 meV per atom. The calculated volume comes out at 49.3 Å³/f.u. The calculated density comes out at 9.806 g/cm³. The calculation puts the total magnetic moment at 0.324 μB per atom. For the density of states at the Fermi level, the calculation gives 6.090 states/eV/cell.

The structure belongs to space group C2/m (No. 12); the cell edges are 9.2115, 5.1617 and 4.8207 Å and the angles 90.00°, 120.56° and 90.00°. The distinct sites, in fractional coordinates, are Tm at (0.1297, 0.0000, 0.3786), Co at (0.0149, 0.5000, 0.2650) and Cu at (0.2500, 0.2500, 0.0000).

The following is a DFT calculation (PBE) of a relaxed LaPrNd2Bi4 crystal.

The total energy is -5.33 eV per atom. Its formation enthalpy at 0 K is -979 meV per atom. The calculated volume comes out at 283.0 Å³/f.u. The calculated density comes out at 8.240 g/cm³. The calculation puts the total magnetic moment at 0.000 μB per atom. For the density of states at the Fermi level, the calculation gives 1.064 states/eV/cell.

The structure belongs to space group P2/m (No. 10); the cell edges are 8.0374, 4.6452 and 8.0389 Å and the angles 90.00°, 109.46° and 90.00°. The distinct sites, in fractional coordinates, are La at (0.0000, 0.0000, 0.0000), Pr at (0.0000, 0.5000, 0.5000), Nd at (0.5000, 0.0000, 0.5000), Nd at (0.5000, 0.5000, 0.0000), Bi at (0.2526, 0.0000, 0.7499) and Bi at (0.2535, 0.5000, 0.2521).

Question: calculated density of number 5 (TmCoCu)?
Answer: 9.806 g/cm³